18
Lattice="5.262 0.000 0.000 -2.631 4.557 0.000 0.000 0.000 9.148" Properties=species:S:1:pos:R:3 comment="UCoPdO6, relaxed, DFT GGA+U" energy_ev_per_atom=-7.370 volume_a3_per_cell=219.3 magmom_total_mub_per_cell=5.95 pbc="T T T"
O 1.722 3.041 1.171
O 4.353 1.516 5.745
O 0.858 1.545 3.403
O -0.858 1.545 1.171
O 3.495 0.029 7.977
O 1.767 0.029 5.745
O 1.773 3.012 5.745
O 0.909 1.516 7.977
O -0.864 4.528 1.171
O -1.722 3.041 3.403
O 0.864 4.528 3.403
O 3.489 3.012 7.977
Co 0.000 0.000 0.000
Co 0.000 0.000 4.574
U 2.631 1.519 2.287
U 0.000 3.038 6.861
Pd 2.631 1.519 6.861
Pd 0.000 3.038 2.287